! BSO2 PBE optimized geometry; values from VASP
! Space group ... I-42d (122)
! ΔE_f (raw) ... -0.6529 eV per atom
! Density ... 3.3 g/cm3
! Final energy ... -46.7 eV for the cell shown
! Crystal system ... tetragonal
&SYSTEM
  ibrav = 0, nat = 8, ntyp = 3
/
ATOMIC_SPECIES
S 32.06 S.upf
B 10.81 B.upf
O 16.00 O.upf
CELL_PARAMETERS angstrom
4.586 0.000 0.000
0.000 4.586 0.000
2.293 2.293 3.557
ATOMIC_POSITIONS crystal
S 0.000 0.000 0.000
S 0.750 0.250 0.500
B 0.500 0.500 0.000
B 0.250 0.750 0.500
O 0.447 0.125 0.250
O 0.303 0.625 0.250
O 0.375 0.553 0.750
O 0.875 0.697 0.750